Material: PmMgTe2
Method: DFT, PBE-GGA
State: relaxed

Lattice parameters (Å, degrees): 4.2510 4.2510 7.8860 74.36 74.36 60.00
Last column: nearest neighbours and their distance in Å.
Fractional positions:
1 Te 0.0744 0.0744 0.7769  3 Mg 2.97, 3 Pm 3.23
2 Mg 0.6670 0.6670 0.9991  6 Te 2.97-2.99
3 Te 0.2577 0.2577 0.2270  3 Mg 2.99, 3 Pm 3.18
4 Pm 0.5010 0.5010 0.4970  6 Te 3.18-3.23

Computed properties:
As for the uncorrected formation energy: -1.09 eV/atom. As for the space group: R3m, No. 160.


Material: Nd2Be3Pt4Au
Method: DFT, PBE-GGA
State: relaxed

Lattice parameters (Å, degrees): 4.0590 4.0590 10.5275 90.00 90.00 90.00
Last column: nearest neighbours and their distance in Å.
Fractional positions:
1 Au 0.5000 0.5000 0.5000  4 Pt 2.71, 4 Be 2.87
2 Be 0.5000 0.0000 0.8903  5 Pt 2.31-2.34
3 Nd 0.0000 0.5000 0.7592  8 Pt 3.02-3.25, 4 Be 3.18
4 Pt 0.0000 0.0000 0.0000  4 Be 2.34
5 Pt 0.0000 0.5000 0.3295  1 Be 2.31
6 Pt 0.5000 0.0000 0.6705  1 Be 2.31
7 Be 0.0000 0.0000 0.5000  4 Pt 2.71, 4 Au 2.87
8 Be 0.0000 0.5000 0.1097  5 Pt 2.31-2.34
9 Nd 0.5000 0.0000 0.2408  8 Pt 3.02-3.25, 4 Be 3.18
10 Pt 0.5000 0.5000 0.0000  4 Be 2.34

Computed properties:
As for the space group: P-4m2, No. 115. Its formation energy is -791 meV/atom.


Material: Pr6Sm12Dy
Method: DFT, PBE-GGA
State: relaxed

Lattice parameters (Å, degrees): 8.7273 8.7273 8.7273 89.35 89.35 89.35
Last column: nearest neighbours and their distance in Å.
Fractional positions:
1 Sm 0.4370 0.7778 0.5359  6 Sm 3.34-3.73, 3 Pr 3.43-3.48
2 Sm 0.8045 0.6420 0.9827  4 Sm 3.49-3.68, 4 Pr 3.56-3.75, 1 Dy 3.58
3 Sm 0.9827 0.8045 0.6420  4 Sm 3.49-3.68, 4 Pr 3.56-3.75, 1 Dy 3.58
4 Pr 0.3043 0.7377 0.9071  7 Sm 3.43-3.75, 1 Dy 3.58, 2 Pr 3.61
5 Sm 0.3580 0.0173 0.1955  4 Sm 3.49-3.68, 4 Pr 3.56-3.75, 1 Dy 3.58
6 Pr 0.7377 0.9071 0.3043  7 Sm 3.43-3.75, 1 Dy 3.58, 2 Pr 3.61
7 Sm 0.6420 0.9827 0.8045  4 Sm 3.49-3.68, 4 Pr 3.56-3.75, 1 Dy 3.58
8 Sm 0.7778 0.5359 0.4370  6 Sm 3.34-3.73, 3 Pr 3.43-3.48
9 Pr 0.2623 0.0929 0.6957  7 Sm 3.43-3.75, 1 Dy 3.58, 2 Pr 3.61
10 Sm 0.2222 0.4641 0.5630  6 Sm 3.34-3.73, 3 Pr 3.43-3.48
11 Pr 0.9071 0.3043 0.7377  7 Sm 3.43-3.75, 1 Dy 3.58, 2 Pr 3.61
12 Pr 0.6957 0.2623 0.0929  7 Sm 3.43-3.75, 1 Dy 3.58, 2 Pr 3.61
13 Sm 0.1955 0.3580 0.0173  4 Sm 3.49-3.68, 4 Pr 3.56-3.75, 1 Dy 3.58
14 Dy 0.0000 0.0000 0.0000  6 Pr 3.58, 6 Sm 3.58
15 Sm 0.5359 0.4370 0.7778  6 Sm 3.34-3.73, 3 Pr 3.43-3.48
16 Sm 0.5630 0.2222 0.4641  6 Sm 3.34-3.73, 3 Pr 3.43-3.48
17 Sm 0.4641 0.5630 0.2222  6 Sm 3.34-3.73, 3 Pr 3.43-3.48
18 Sm 0.0173 0.1955 0.3580  4 Sm 3.49-3.68, 4 Pr 3.56-3.75, 1 Dy 3.58
19 Pr 0.0929 0.6957 0.2623  7 Sm 3.43-3.75, 1 Dy 3.58, 2 Pr 3.61

Computed properties:
As for the space group: R-3, No. 148. The calculation puts the energy above the most stable polymorph in this dataset at 0.000 eV/atom. Its formation energy is 135 meV/atom.


Material: Ba2Li3Mg12Ga
Method: DFT, PBE-GGA
State: relaxed

Lattice parameters (Å, degrees): 12.2019 12.2019 12.2019 34.05 34.05 34.05
Last column: nearest neighbours and their distance in Å.
Fractional positions:
1 Li 0.0000 0.5000 0.0000  4 Mg 2.77
2 Mg 0.3702 0.9127 0.9127  1 Ga 2.93, 4 Mg 3.02-3.27
3 Mg 0.4085 0.4085 0.8214  2 Li 2.77, 4 Mg 2.95-3.02
4 Mg 0.9127 0.3702 0.9127  1 Ga 2.93, 4 Mg 3.02-3.27
5 Ga 0.0000 0.0000 0.0000  6 Mg 2.93
6 Mg 0.8214 0.4085 0.4085  2 Li 2.77, 4 Mg 2.95-3.02
7 Li 0.5000 0.0000 0.0000  4 Mg 2.77
8 Mg 0.9127 0.9127 0.3702  1 Ga 2.93, 4 Mg 3.02-3.27
9 Mg 0.5915 0.5915 0.1786  2 Li 2.77, 4 Mg 2.95-3.02
10 Mg 0.1786 0.5915 0.5915  2 Li 2.77, 4 Mg 2.95-3.02
11 Mg 0.0873 0.0873 0.6298  1 Ga 2.93, 4 Mg 3.02-3.27
12 Ba 0.6435 0.6435 0.6435  12 Mg 3.76-3.86, 3 Ga 4.20
13 Mg 0.4085 0.8214 0.4085  2 Li 2.77, 4 Mg 2.95-3.02
14 Li 0.0000 0.0000 0.5000  4 Mg 2.77
15 Mg 0.5915 0.1786 0.5915  2 Li 2.77, 4 Mg 2.95-3.02
16 Ba 0.3565 0.3565 0.3565  12 Mg 3.76-3.86, 3 Ga 4.20
17 Mg 0.0873 0.6298 0.0873  1 Ga 2.93, 4 Mg 3.02-3.27
18 Mg 0.6298 0.0873 0.0873  1 Ga 2.93, 4 Mg 3.02-3.27

Computed properties:
As for the space group: R-3m, No. 166. Its formation energy is 117 meV/atom.


Material: In2SnAu2
Method: DFT, PBE-GGA
State: relaxed

Lattice parameters (Å, degrees): 7.9141 7.9141 3.7070 90.00 90.00 90.00
Last column: nearest neighbours and their distance in Å.
Fractional positions:
1 Sn 0.0000 0.0000 0.0000  4 Au 3.10
2 Sn 0.5000 0.5000 0.0000  4 Au 3.10
3 In 0.8324 0.3324 0.5000  6 Au 2.91-3.02
4 Au 0.3685 0.8685 0.0000  6 In 2.91-3.02, 1 Au 2.94, 2 Sn 3.10
5 Au 0.8685 0.6315 0.0000  6 In 2.91-3.02, 1 Au 2.94, 2 Sn 3.10
6 Au 0.6315 0.1315 0.0000  6 In 2.91-3.02, 1 Au 2.94, 2 Sn 3.10
7 In 0.1676 0.6676 0.5000  6 Au 2.91-3.02
8 In 0.6676 0.8324 0.5000  6 Au 2.91-3.02
9 Au 0.1315 0.3685 0.0000  6 In 2.91-3.02, 1 Au 2.94, 2 Sn 3.10
10 In 0.3324 0.1676 0.5000  6 Au 2.91-3.02

Computed properties:
As for the space group: P4/mbm, No. 127. The calculation puts the energy above the most stable polymorph in this dataset at 0.081 eV/atom. Its formation energy is -103 meV/atom.


Material: HfGaIr3
Method: DFT, PBE-GGA
State: relaxed

Lattice parameters (Å, degrees): 4.5051 4.5051 4.5051 90.00 90.00 90.00
Last column: nearest neighbours and their distance in Å.
Fractional positions:
1 Hf 0.5000 0.5000 0.5000  12 Ir 3.19
2 Ir 0.5000 0.0000 0.0000  2 Ga 2.25
3 Ir 0.0000 0.0000 0.5000  2 Ga 2.25
4 Ga 0.0000 0.0000 0.0000  6 Ir 2.25
5 Ir 0.0000 0.5000 0.0000  2 Ga 2.25

Computed properties:
As for the space group: Pm-3m, No. 221. The calculation puts the energy above the most stable polymorph in this dataset at 0.644 eV/atom. Its formation energy is 451 meV/atom.


| no. | electronic total energy (eV/atom) |
| --- | --- |
| 1 | -4.244 |
| 2 | -5.606 |
| 3 | -4.597 |
| 4 | -1.647 |
| 5 | -3.310 |
| 6 | -7.462 |